# 1
Below is crystalline BH3Ir at its relaxed geometry, with properties calculated at the GGA-PBE level.

SG	No. 221
density of states at the Fermi level	3.1	states/eV per cell

a b c (Å): 3.140 3.140 3.140
angles (deg): 90.00 90.00 90.00
Fractional coordinates of all 5 atoms:
B: 0.000 0.000 0.000
H: 0.000 0.500 0.000
H: 0.500 0.000 0.000
H: 0.000 0.000 0.500
Ir: 0.500 0.500 0.500


# 2
Below is crystalline B5HIr6 at its relaxed geometry, with properties calculated at the GGA-PBE level.

SG	No. 2
density of states at the Fermi level	5.0	states/eV per cell

a b c (Å): 2.849 7.963 7.404
angles (deg): 121.13 90.97 110.43
Fractional coordinates of all 12 atoms:
H: 0.000 0.000 0.000
B: 0.000 0.500 0.000
B: 0.279 0.529 0.604
B: 0.282 0.030 0.617
B: 0.721 0.471 0.396
B: 0.718 0.970 0.383
Ir: 0.511 0.755 0.001
Ir: 0.489 0.245 0.999
Ir: 0.030 0.788 0.707
Ir: 0.962 0.718 0.309
Ir: 0.970 0.212 0.293
Ir: 0.038 0.282 0.691


# 3
Below is crystalline BH3Ir at its relaxed geometry, with properties calculated at the GGA-PBE level.

SG	No. 221
density of states at the Fermi level	1.2	states/eV per cell

a b c (Å): 3.442 3.442 3.442
angles (deg): 90.00 90.00 90.00
Fractional coordinates of all 5 atoms:
Ir: 0.000 0.000 0.000
H: 0.000 0.500 0.000
H: 0.000 0.000 0.500
H: 0.500 0.000 0.000
B: 0.500 0.500 0.500


# 4
Below is crystalline NaBH2Ir at its relaxed geometry, with properties calculated at the GGA-PBE level.

SG	No. 123
density of states at the Fermi level	1.4	states/eV per cell

a b c (Å): 3.170 6.761 3.170
angles (deg): 90.00 90.00 90.00
Fractional coordinates of all 5 atoms:
B: 0.500 0.500 0.500
Na: 0.000 0.000 0.000
Ir: 0.000 0.500 0.000
H: 0.500 0.000 0.000
H: 0.000 0.000 0.500


# 5
Below is crystalline NiBH2Ir at its relaxed geometry, with properties calculated at the GGA-PBE level.

SG	No. 123
density of states at the Fermi level	3.4	states/eV per cell

a b c (Å): 3.131 5.122 3.131
angles (deg): 90.00 90.00 90.00
Fractional coordinates of all 5 atoms:
H: 0.500 0.000 0.000
H: 0.000 0.000 0.500
Ir: 0.000 0.000 0.000
Ni: 0.000 0.500 0.000
B: 0.500 0.500 0.500


# 6
Below is crystalline NiB2HIr at its relaxed geometry, with properties calculated at the GGA-PBE level.

SG	No. 123
density of states at the Fermi level	2.7	states/eV per cell

a b c (Å): 3.699 2.969 3.699
angles (deg): 90.00 90.00 90.00
Fractional coordinates of all 5 atoms:
Ni: 0.000 0.500 0.000
H: 0.000 0.000 0.000
B: 0.500 0.000 0.000
B: 0.000 0.000 0.500
Ir: 0.500 0.500 0.500


# 7
Below is crystalline Sc2BHIr6 at its relaxed geometry, with properties calculated at the GGA-PBE level.

SG	No. 139
density of states at the Fermi level	3.0	states/eV per cell

a b c (Å): 5.754 5.754 5.750
angles (deg): 59.97 59.97 90.01
Fractional coordinates of all 10 atoms:
Ir: 0.756 0.756 0.000
Ir: 0.756 0.244 0.000
Ir: 0.244 0.756 0.000
Ir: 0.244 0.244 0.512
Ir: 0.244 0.244 0.000
Ir: 0.756 0.756 0.488
H: 0.000 0.000 0.000
B: 0.500 0.500 0.000
Sc: 0.750 0.250 0.500
Sc: 0.250 0.750 0.500


# 8
Below is crystalline BTeHIr2 at its relaxed geometry, with properties calculated at the GGA-PBE level.

SG	No. 123
density of states at the Fermi level	1.9	states/eV per cell

a b c (Å): 4.111 3.762 4.111
angles (deg): 90.00 90.00 90.00
Fractional coordinates of all 5 atoms:
Ir: 0.500 0.000 0.000
Ir: 0.000 0.000 0.500
B: 0.000 0.500 0.000
H: 0.000 0.000 0.000
Te: 0.500 0.500 0.500


# 9
Below is crystalline TiBH2Ir at its relaxed geometry, with properties calculated at the GGA-PBE level.

SG	No. 123
density of states at the Fermi level	2.8	states/eV per cell

a b c (Å): 3.212 4.600 3.212
angles (deg): 90.00 90.00 90.00
Fractional coordinates of all 5 atoms:
H: 0.500 0.000 0.000
H: 0.000 0.000 0.500
Ir: 0.500 0.500 0.500
B: 0.000 0.500 0.000
Ti: 0.000 0.000 0.000


# 10
Below is crystalline KB3H at its relaxed geometry, with properties calculated at the GGA-PBE level.

SG	No. 221
density of states at the Fermi level	2.5	states/eV per cell

a b c (Å): 3.913 3.913 3.913
angles (deg): 90.00 90.00 90.00
Fractional coordinates of all 5 atoms:
B: 0.500 0.000 0.000
B: 0.000 0.500 0.000
B: 0.000 0.000 0.500
K: 0.500 0.500 0.500
H: 0.000 0.000 0.000


# 11
Below is crystalline K3BH at its relaxed geometry, with properties calculated at the GGA-PBE level.

SG	No. 221
density of states at the Fermi level	0.3	states/eV per cell

a b c (Å): 5.257 5.257 5.257
angles (deg): 90.00 90.00 90.00
Fractional coordinates of all 5 atoms:
K: 0.500 0.000 0.000
K: 0.000 0.500 0.000
K: 0.000 0.000 0.500
H: 0.000 0.000 0.000
B: 0.500 0.500 0.500


# 12
Below is crystalline K3BH6 at its relaxed geometry, with properties calculated at the GGA-PBE level.

SG	No. 14
density of states at the Fermi level	0.0	states/eV per cell

a b c (Å): 6.433 5.944 7.318
angles (deg): 90.00 78.84 90.00
Fractional coordinates of all 20 atoms:
H: 0.171 0.790 0.992
H: 0.564 0.465 0.332
H: 0.329 0.290 0.508
H: 0.436 0.535 0.668
H: 0.696 0.324 0.548
H: 0.936 0.965 0.168
H: 0.064 0.035 0.832
H: 0.804 0.824 0.952
H: 0.829 0.210 0.008
H: 0.671 0.710 0.492
H: 0.304 0.676 0.452
H: 0.196 0.176 0.048
B: 0.000 0.000 0.000
B: 0.500 0.500 0.500
K: 0.959 0.512 0.243
K: 0.500 0.500 0.000
K: 0.459 0.988 0.743
K: 0.041 0.488 0.757
K: 0.541 0.012 0.257
K: 0.000 0.000 0.500


# 13
Below is crystalline K2BH4 at its relaxed geometry, with properties calculated at the GGA-PBE level.

SG	No. 139
density of states at the Fermi level	1.2	states/eV per cell

a b c (Å): 3.601 3.601 8.405
angles (deg): 77.63 77.63 90.00
Fractional coordinates of all 7 atoms:
H: 0.077 0.077 0.846
H: 0.000 0.500 0.000
H: 0.923 0.923 0.154
H: 0.500 0.000 0.000
B: 0.000 0.000 0.000
K: 0.621 0.621 0.757
K: 0.379 0.379 0.243


# 14
Below is crystalline K2BH at its relaxed geometry, with properties calculated at the GGA-PBE level.

SG	No. 225
density of states at the Fermi level	4.5	states/eV per cell

a b c (Å): 5.209 5.209 5.209
angles (deg): 60.00 60.00 60.00
Fractional coordinates of all 4 atoms:
K: 0.250 0.250 0.250
K: 0.750 0.750 0.750
B: 0.500 0.500 0.500
H: 0.000 0.000 0.000


# 15
Below is crystalline K2BH5 at its relaxed geometry, with properties calculated at the GGA-PBE level.

SG	No. 8
density of states at the Fermi level	0.0	states/eV per cell

a b c (Å): 5.496 5.496 4.779
angles (deg): 115.69 115.69 88.97
Fractional coordinates of all 8 atoms:
K: 0.701 0.244 0.507
K: 0.244 0.701 0.507
H: 0.337 0.337 0.871
H: 0.143 0.883 0.048
H: 0.784 0.784 0.029
H: 0.784 0.784 0.610
H: 0.883 0.143 0.048
B: 0.900 0.900 0.935


# 16
Below is crystalline K2B2H5 at its relaxed geometry, with properties calculated at the GGA-PBE level.

SG	No. 12
density of states at the Fermi level	0.7	states/eV per cell

a b c (Å): 3.049 6.287 5.657
angles (deg): 80.38 90.00 104.03
Fractional coordinates of all 9 atoms:
H: 0.049 0.099 0.642
H: 0.000 0.000 0.000
H: 0.951 0.901 0.358
H: 0.627 0.254 0.828
H: 0.373 0.746 0.172
K: 0.360 0.720 0.734
K: 0.640 0.280 0.266
B: 0.901 0.803 0.184
B: 0.099 0.197 0.816


# 17
Below is crystalline K2BH5 at its relaxed geometry, with properties calculated at the GGA-PBE level.

SG	No. 107

a b c (Å): 5.455 5.227 5.227
angles (deg): 62.99 58.54 58.54
Fractional coordinates of all 8 atoms:
H: 0.172 0.183 0.829
H: 0.210 0.790 0.790
H: 0.817 0.829 0.183
H: 0.817 0.183 0.829
H: 0.171 0.829 0.183
B: 0.034 0.966 0.966
K: 0.251 0.249 0.249
K: 0.751 0.749 0.749


# 18
Below is crystalline KB2H at its relaxed geometry, with properties calculated at the GGA-PBE level.

SG	No. 141
density of states at the Fermi level	2.4	states/eV per cell

a b c (Å): 5.079 5.079 5.085
angles (deg): 60.04 60.04 90.00
Fractional coordinates of all 8 atoms:
H: 0.250 0.750 0.500
H: 0.500 0.500 0.000
B: 0.375 0.625 0.750
B: 0.375 0.125 0.250
B: 0.875 0.625 0.750
B: 0.375 0.625 0.250
K: 0.750 0.250 0.500
K: 0.000 0.000 0.000


# 19
Below is crystalline KBH3 at its relaxed geometry, with properties calculated at the GGA-PBE level.

SG	No. 221
density of states at the Fermi level	0.7	states/eV per cell

a b c (Å): 3.470 3.470 3.470
angles (deg): 90.00 90.00 90.00
Fractional coordinates of all 5 atoms:
K: 0.500 0.500 0.500
H: 0.000 0.000 0.500
H: 0.500 0.000 0.000
H: 0.000 0.500 0.000
B: 0.000 0.000 0.000


# 20
Below is crystalline KBH3 at its relaxed geometry, with properties calculated at the GGA-PBE level.

SG	No. 40
density of states at the Fermi level	0.6	states/eV per cell

a b c (Å): 4.683 4.683 7.997
angles (deg): 90.00 90.00 121.25
Fractional coordinates of all 10 atoms:
H: 0.653 0.586 0.250
H: 0.814 0.436 0.882
H: 0.436 0.814 0.382
H: 0.436 0.814 0.118
H: 0.814 0.436 0.618
H: 0.586 0.653 0.750
K: 0.124 0.124 0.000
K: 0.124 0.124 0.500
B: 0.739 0.508 0.750
B: 0.508 0.739 0.250


In order of appearance, E = -3.9202; -7.5350; -4.1195; -3.4107; -4.7929; -5.7285; -8.2193; -5.2072; -5.7103; -2.5865; -1.9575; -2.9459; -3.0420; -2.0021; -3.5134; -3.3606; -3.2943; -2.9287; -3.1204; -3.6632 eV/atom.